# 1
Compound: ZnNiBi
Source: the Alexandria database
Functional: PBE-GGA
Structure: optimized geometry

Computed properties:
calculated formation energy: -0.050 eV/atom
space-group type: I4/mmm (139)

```
data_ZnNiBi
_cell_length_a 4.2885
_cell_length_b 4.2885
_cell_length_c 12.2835
_cell_angle_alpha 90.00
_cell_angle_beta 90.00
_cell_angle_gamma 90.00
_space_group_name_H-M_alt 'P 1'
_space_group_IT_number 1
loop_
_space_group_symop_operation_xyz
'x,y,z'
loop_
_atom_site_label
_atom_site_type_symbol
_atom_site_fract_x
_atom_site_fract_y
_atom_site_fract_z
_atom_site_occupancy
Bi1 Bi 0.5000 0.5000 0.3538 1
Bi2 Bi 0.5000 0.5000 0.6462 1
Bi3 Bi 0.0000 0.0000 0.8538 1
Bi4 Bi 0.0000 0.0000 0.1462 1
Zn1 Zn 0.5000 0.5000 0.8903 1
Zn2 Zn 0.0000 0.0000 0.3903 1
Zn3 Zn 0.0000 0.0000 0.6097 1
Zn4 Zn 0.5000 0.5000 0.1097 1
Ni1 Ni 0.0000 0.5000 0.0000 1
Ni2 Ni 0.0000 0.5000 0.5000 1
Ni3 Ni 0.5000 0.0000 0.0000 1
Ni4 Ni 0.5000 0.0000 0.5000 1
```

---

# 2
Compound: ZnNiBi2
Source: the Alexandria database
Functional: PBE-GGA
Structure: optimized geometry

Computed properties:
calculated formation energy: 0.201 eV/atom
space-group type: R-3m (166)

```
data_ZnNiBi2
_cell_length_a 3.8683
_cell_length_b 3.8683
_cell_length_c 8.8491
_cell_angle_alpha 77.37
_cell_angle_beta 77.37
_cell_angle_gamma 60.00
_space_group_name_H-M_alt 'P 1'
_space_group_IT_number 1
loop_
_space_group_symop_operation_xyz
'x,y,z'
loop_
_atom_site_label
_atom_site_type_symbol
_atom_site_fract_x
_atom_site_fract_y
_atom_site_fract_z
_atom_site_occupancy
Bi1 Bi 0.1104 0.1104 0.6688 1
Bi2 Bi 0.8896 0.8896 0.3312 1
Zn1 Zn 0.0000 0.0000 0.0000 1
Ni1 Ni 0.5000 0.5000 0.5000 1
```

---

# 3
Compound: Zn3NiBi
Source: the Alexandria database
Functional: PBE-GGA
Structure: optimized geometry

Computed properties:
calculated formation energy: 0.192 eV/atom
space-group type: Pm-3m (221)

```
data_Zn3NiBi
_cell_length_a 4.6261
_cell_length_b 4.6261
_cell_length_c 4.6261
_cell_angle_alpha 90.00
_cell_angle_beta 90.00
_cell_angle_gamma 90.00
_space_group_name_H-M_alt 'P 1'
_space_group_IT_number 1
loop_
_space_group_symop_operation_xyz
'x,y,z'
loop_
_atom_site_label
_atom_site_type_symbol
_atom_site_fract_x
_atom_site_fract_y
_atom_site_fract_z
_atom_site_occupancy
Zn1 Zn 0.5000 0.0000 0.0000 1
Zn2 Zn 0.0000 0.5000 0.0000 1
Zn3 Zn 0.0000 0.0000 0.5000 1
Bi1 Bi 0.5000 0.5000 0.5000 1
Ni1 Ni 0.0000 0.0000 0.0000 1
```

---

# 4
Compound: Zn2NiBi2
Source: the Alexandria database
Functional: PBE-GGA
Structure: optimized geometry

Computed properties:
calculated formation energy: 0.251 eV/atom
space-group type: P4/mbm (127)

```
data_Zn2NiBi2
_cell_length_a 6.6910
_cell_length_b 6.6910
_cell_length_c 4.7187
_cell_angle_alpha 90.00
_cell_angle_beta 90.00
_cell_angle_gamma 90.00
_space_group_name_H-M_alt 'P 1'
_space_group_IT_number 1
loop_
_space_group_symop_operation_xyz
'x,y,z'
loop_
_atom_site_label
_atom_site_type_symbol
_atom_site_fract_x
_atom_site_fract_y
_atom_site_fract_z
_atom_site_occupancy
Ni1 Ni 0.5000 0.5000 0.0000 1
Ni2 Ni 0.0000 0.0000 0.0000 1
Bi1 Bi 0.1762 0.6762 0.5000 1
Bi2 Bi 0.8238 0.3238 0.5000 1
Bi3 Bi 0.3238 0.1762 0.5000 1
Bi4 Bi 0.6762 0.8238 0.5000 1
Zn1 Zn 0.3551 0.8551 0.0000 1
Zn2 Zn 0.6449 0.1449 0.0000 1
Zn3 Zn 0.1449 0.3551 0.0000 1
Zn4 Zn 0.8551 0.6449 0.0000 1
```

---

- What is the calculated formation energy in the third record?
  0.192 eV/atom

---

- The lowest calculated formation energy belongs to which entry?
  ZnNiBi